[1]
Here is a geometry-optimized CoMo2Cl structure from Alexandria. Energies are from PBEsol.

Output
Space-group type: Cmm2
Formation energy (no corrections), eV per atom: 0.358
Distance to the lowest polymorph of the same formula, eV per atom: 0.083

Unit cell a=2.778 b=2.778 c=7.813 alpha=90.00 beta=90.00 gamma=108.49
Each line ends with the local moment (μB).
Fractional positions:
Cl 0.000 0.000 0.486  0.01
Co 0.500 0.500 0.243  0.36
Mo 0.500 0.500 0.751  0.00
Mo 0.000 0.000 0.020  -0.03

[2]
Here is a geometry-optimized MoPtF2 structure from Alexandria. Energies are from PBEsol.

Output
Space-group type: I-42d
Formation energy (no corrections), eV per atom: -0.392

Unit cell a=3.713 b=3.713 c=7.980 alpha=103.45 beta=103.45 gamma=90.00
Fractional positions:
F 0.459 0.875 0.250
F 0.125 0.209 0.750
F 0.625 0.541 0.750
F 0.791 0.375 0.250
Mo 0.500 0.500 0.000
Mo 0.750 0.250 0.500
Pt 0.250 0.750 0.500
Pt 0.000 0.000 0.000

[3]
Here is a geometry-optimized K2TeSe structure from Alexandria. Energies are from PBEsol.

Output
Space-group type: F-43m
Formation energy (no corrections), eV per atom: -0.436
Distance to the lowest polymorph of the same formula, eV per atom: 0.203

Unit cell a=5.585 b=5.585 c=5.585 alpha=60.00 beta=60.00 gamma=60.00
Fractional positions:
Se 0.500 0.500 0.500
K 0.750 0.750 0.750
K 0.000 0.000 0.000
Te 0.250 0.250 0.250

[4]
Here is a geometry-optimized ScH3C3O6 structure from Alexandria. Energies are from PBEsol.

Output
Space-group type: R-3c

Unit cell a=6.850 b=6.850 c=6.850 alpha=102.01 beta=102.01 gamma=102.01
Fractional positions:
H 0.070 0.750 0.430
H 0.250 0.570 0.930
H 0.570 0.930 0.250
H 0.750 0.430 0.070
H 0.930 0.250 0.570
H 0.430 0.070 0.750
C 0.750 0.534 0.966
C 0.250 0.466 0.034
C 0.534 0.966 0.750
C 0.466 0.034 0.250
C 0.966 0.750 0.534
C 0.034 0.250 0.466
O 0.527 0.202 0.390
O 0.798 0.610 0.473
O 0.390 0.527 0.202
O 0.973 0.110 0.298
O 0.890 0.702 0.027
O 0.702 0.027 0.890
O 0.202 0.390 0.527
O 0.027 0.890 0.702
O 0.473 0.798 0.610
O 0.298 0.973 0.110
O 0.610 0.473 0.798
O 0.110 0.298 0.973
Sc 0.500 0.500 0.500
Sc 0.000 0.000 0.000

[5]
Here is a geometry-optimized Zr2ScCu structure from Alexandria. Energies are from PBEsol.

Output
ΔH_f (0 K), meV/atom: -99
Space-group type: P4mm
Distance to the lowest polymorph of the same formula, eV per atom: 0.000

Unit cell a=3.159 b=3.159 c=7.819 alpha=90.00 beta=90.00 gamma=90.00
Fractional positions:
Zr 0.000 0.000 0.003
Zr 0.500 0.500 0.282
Sc 0.500 0.500 0.714
Cu 0.000 0.000 0.501

[6]
Here is a geometry-optimized SbOs2W structure from Alexandria. Energies are from PBEsol.

Output
Space-group type: Pmmm
Formation energy (no corrections), eV per atom: 0.454

Unit cell a=2.926 b=3.826 c=5.662 alpha=90.00 beta=90.01 gamma=90.00
Fractional positions:
Sb 0.500 0.500 0.000
W 0.500 0.500 0.500
Os 0.000 0.000 0.736
Os 0.000 0.000 0.264

[7]
Here is a geometry-optimized As2WC structure from Alexandria. Energies are from PBEsol.

Output
ΔH_f (0 K), meV/atom: 1028
Space-group type: I-42d

Unit cell a=5.513 b=5.682 c=5.513 alpha=60.98 beta=90.00 gamma=119.02
Fractional positions:
As 0.552 0.750 0.375
As 0.375 0.250 0.198
As 0.875 0.250 0.552
As 0.198 0.750 0.875
W 0.000 0.000 0.000
W 0.750 0.500 0.750
C 0.250 0.500 0.250
C 0.500 0.000 0.500

[8]
Here is a geometry-optimized SrHg2Ir structure from Alexandria. Energies are from PBEsol.

Output
ΔH_f (0 K), meV/atom: -62
Space-group type: R-3m

Unit cell a=4.607 b=4.607 c=5.881 alpha=66.94 beta=66.94 gamma=60.00
Fractional positions:
Ir 0.500 0.500 0.500
Hg 0.786 0.786 0.643
Hg 0.214 0.214 0.357
Sr 0.000 0.000 0.000

[9]
Here is a geometry-optimized Ta2CrMo structure from Alexandria. Energies are from PBEsol.

Output
ΔH_f (0 K), meV/atom: -49
Space-group type: Imm2

Unit cell a=3.133 b=4.405 c=5.222 alpha=114.94 beta=107.45 gamma=90.00
Fractional positions:
Ta 0.994 0.994 0.989
Ta 0.759 0.259 0.517
Cr 0.506 0.506 0.012
Mo 0.241 0.741 0.482

[10]
Here is a geometry-optimized La4TcPt structure from Alexandria. Energies are from PBEsol.

Output
ΔH_f (0 K), meV/atom: 779
Space-group type: F-43m

Unit cell a=5.959 b=5.959 c=5.959 alpha=60.00 beta=60.00 gamma=60.00
Fractional positions:
Pt 0.750 0.750 0.750
La 0.375 0.375 0.876
La 0.375 0.375 0.375
La 0.375 0.876 0.375
La 0.876 0.375 0.375
Tc 0.000 0.000 0.000

[11]
Here is a geometry-optimized Mn3BePt structure from Alexandria. Energies are from PBEsol.

Output
ΔH_f (0 K), meV/atom: 596
Space-group type: Pm-3m

Unit cell a=3.838 b=3.838 c=3.838 alpha=90.00 beta=90.00 gamma=90.00
Each line ends with the local moment (μB).
Fractional positions:
Mn 0.000 0.000 0.500  1.28
Mn 0.500 0.000 0.000  1.28
Mn 0.000 0.500 0.000  1.28
Pt 0.500 0.500 0.500  0.00
Be 0.000 0.000 0.000  -0.08

[12]
Here is a geometry-optimized CuP4Rh structure from Alexandria. Energies are from PBEsol.

Output
ΔH_f (0 K), meV/atom: 613
Space-group type: F-43m

Unit cell a=4.883 b=4.883 c=4.883 alpha=60.00 beta=60.00 gamma=60.00
Fractional positions:
Cu 0.000 0.000 0.000
P 0.886 0.371 0.371
P 0.371 0.371 0.371
P 0.371 0.886 0.371
P 0.371 0.371 0.886
Rh 0.750 0.750 0.750

[13]
Here is a geometry-optimized Hg2MoPb structure from Alexandria. Energies are from PBEsol.

Output
ΔH_f (0 K), meV/atom: 563
Space-group type: Cmmm

Unit cell a=3.086 b=5.380 c=5.380 alpha=114.51 beta=90.00 gamma=90.00
Fractional positions:
Pb 0.500 0.500 0.500
Hg 0.000 0.500 0.000
Hg 0.000 0.000 0.500
Mo 0.500 0.000 0.000

[14]
Here is a geometry-optimized HfTiRe2 structure from Alexandria. Energies are from PBEsol.

Output
ΔH_f (0 K), meV/atom: -333
Space-group type: Fm-3m

Unit cell a=4.468 b=4.468 c=4.468 alpha=60.00 beta=60.00 gamma=60.00
Fractional positions:
Ti 0.000 0.000 0.000
Hf 0.500 0.500 0.500
Re 0.750 0.750 0.750
Re 0.250 0.250 0.250

[15]
Here is a geometry-optimized Sc2SiSe structure from Alexandria. Energies are from PBEsol.

Output
Space-group type: P4/mmm
Formation energy (no corrections), eV per atom: -1.213
Distance to the lowest polymorph of the same formula, eV per atom: 0.003

Unit cell a=3.820 b=3.820 c=5.378 alpha=90.00 beta=90.00 gamma=90.00
Fractional positions:
Se 0.000 0.000 0.000
Si 0.500 0.500 0.500
Sc 0.500 0.500 0.000
Sc 0.000 0.000 0.500

[16]
Here is a geometry-optimized InTe2O5F structure from Alexandria. Energies are from PBEsol.

Output
Space-group type: C222_1
Formation energy (no corrections), eV per atom: -1.380

Unit cell a=6.609 b=6.609 c=13.116 alpha=90.00 beta=90.00 gamma=116.64
Fractional positions:
O 0.008 0.100 0.373
O 0.992 0.900 0.873
O 0.539 0.733 0.913
O 0.100 0.008 0.627
O 0.900 0.992 0.127
O 0.733 0.539 0.087
O 0.461 0.267 0.413
O 0.296 0.346 0.213
O 0.419 0.892 0.669
O 0.892 0.419 0.331
O 0.267 0.461 0.587
O 0.654 0.704 0.287
O 0.704 0.654 0.713
O 0.346 0.296 0.787
O 0.233 0.795 0.027
O 0.581 0.108 0.169
O 0.795 0.233 0.973
O 0.108 0.581 0.831
O 0.205 0.767 0.473
O 0.767 0.205 0.527
In 0.753 0.948 0.627
In 0.052 0.247 0.873
In 0.948 0.753 0.373
In 0.247 0.052 0.127
F 0.272 0.272 0.000
F 0.819 0.181 0.750
F 0.728 0.728 0.500
F 0.181 0.819 0.250
Te 0.863 0.318 0.111
Te 0.137 0.682 0.611
Te 0.318 0.863 0.889
Te 0.274 0.391 0.355
Te 0.726 0.609 0.855
Te 0.682 0.137 0.389
Te 0.609 0.726 0.145
Te 0.391 0.274 0.645

[17]
Here is a geometry-optimized TlSi2Mo structure from Alexandria. Energies are from PBEsol.

Output
Space-group type: I-42d
Formation energy (no corrections), eV per atom: 0.581
Distance to the lowest polymorph of the same formula, eV per atom: 0.000

Unit cell a=4.210 b=4.210 c=9.006 alpha=103.52 beta=103.52 gamma=90.00
Each line ends with the local moment (μB).
Fractional positions:
Si 0.125 0.215 0.750  0.00
Si 0.465 0.875 0.250  0.00
Si 0.785 0.375 0.250  0.00
Si 0.625 0.535 0.750  0.00
Tl 0.250 0.750 0.500  0.00
Tl 0.000 0.000 0.000  0.00
Mo 0.500 0.500 0.000  0.70
Mo 0.750 0.250 0.500  0.70

[18]
Here is a geometry-optimized LuH3 structure from Alexandria. Energies are from PBEsol.

Output
Space-group type: P-3c1

Unit cell a=6.017 b=6.017 c=6.254 alpha=90.00 beta=90.00 gamma=120.00
Fractional positions:
H 0.651 0.678 0.407
H 0.973 0.651 0.593
H 0.678 0.027 0.593
H 0.000 0.000 0.250
H 0.349 0.322 0.593
H 0.027 0.349 0.407
H 0.678 0.651 0.093
H 0.667 0.333 0.320
H 0.322 0.349 0.907
H 0.333 0.667 0.180
H 0.349 0.027 0.093
H 0.000 0.000 0.750
H 0.027 0.678 0.907
H 0.322 0.973 0.407
H 0.651 0.973 0.907
H 0.973 0.322 0.093
H 0.333 0.667 0.680
H 0.667 0.333 0.820
Lu 0.337 0.000 0.750
Lu 0.663 0.000 0.250
Lu 0.663 0.663 0.750
Lu 0.000 0.663 0.250
Lu 0.337 0.337 0.250
Lu 0.000 0.337 0.750

[19]
Here is a geometry-optimized MnInMo3 structure from Alexandria. Energies are from PBEsol.

Output
ΔH_f (0 K), meV/atom: 985
Space-group type: Pm-3m

Unit cell a=4.442 b=4.442 c=4.442 alpha=90.00 beta=90.00 gamma=90.00
Fractional positions:
Mn 0.000 0.000 0.000
Mo 0.000 0.000 0.500
Mo 0.000 0.500 0.000
Mo 0.500 0.000 0.000
In 0.500 0.500 0.500

[20]
Here is a geometry-optimized TaReAu2 structure from Alexandria. Energies are from PBEsol.

Output
ΔH_f (0 K), meV/atom: 380
Space-group type: P4/mmm
Distance to the lowest polymorph of the same formula, eV per atom: 0.258

Unit cell a=3.461 b=3.461 c=5.485 alpha=90.00 beta=90.00 gamma=90.00
Fractional positions:
Ta 0.500 0.500 0.500
Au 0.000 0.000 0.753
Au 0.000 0.000 0.247
Re 0.500 0.500 0.000

[21]
Here is a geometry-optimized PdF2 structure from Alexandria. Energies are from PBEsol.

Output
Space-group type: Pa-3
Formation energy (no corrections), eV per atom: -1.046

Unit cell a=5.261 b=5.261 c=5.261 alpha=90.00 beta=90.00 gamma=90.00
Fractional positions:
F 0.659 0.841 0.159
F 0.659 0.659 0.659
F 0.159 0.841 0.341
F 0.841 0.159 0.659
F 0.341 0.341 0.341
F 0.841 0.341 0.159
F 0.159 0.659 0.841
F 0.341 0.159 0.841
Pd 0.000 0.000 0.000
Pd 0.500 0.000 0.500
Pd 0.500 0.500 0.000
Pd 0.000 0.500 0.500

[22]
Here is a geometry-optimized Sc2BrCl structure from Alexandria. Energies are from PBEsol.

Output
Space-group type: R3m
Formation energy (no corrections), eV per atom: -1.295
Distance to the lowest polymorph of the same formula, eV per atom: 0.000

Unit cell a=3.482 b=3.482 c=9.456 alpha=79.39 beta=79.39 gamma=60.00
Each line ends with the local moment (μB).
Fractional positions:
Br 0.483 0.483 0.551  0.00
Sc 0.995 0.995 0.015  0.43
Sc 0.752 0.752 0.745  0.41
Cl 0.270 0.270 0.189  0.00

[23]
Here is a geometry-optimized ZrAlSi2 structure from Alexandria. Energies are from PBEsol.

Output
Space-group type: P3m1
Formation energy (no corrections), eV per atom: -0.001

Unit cell a=3.691 b=3.691 c=6.942 alpha=90.00 beta=90.00 gamma=120.00
Fractional positions:
Si 0.333 0.667 0.766
Si 0.667 0.333 0.250
Al 0.333 0.667 0.416
Zr 0.000 0.000 0.023

[24]
Here is a geometry-optimized Hg5Pb structure from Alexandria. Energies are from PBEsol.

Output
ΔH_f (0 K), meV/atom: 16
Space-group type: P-62m
Distance to the lowest polymorph of the same formula, eV per atom: 0.010

Unit cell a=5.414 b=5.571 c=5.571 alpha=120.00 beta=90.00 gamma=90.00
Fractional positions:
Pb 0.500 0.000 0.000
Hg 0.000 0.000 0.658
Hg 0.500 0.667 0.333
Hg 0.000 0.658 0.000
Hg 0.500 0.333 0.667
Hg 0.000 0.342 0.342

| no. | raw total energy (eV/atom) |
| --- | --- |
| 1 | -7.962 |
| 2 | -6.038 |
| 3 | -2.847 |
| 4 | -7.299 |
| 5 | -7.379 |
| 6 | -10.245 |
| 7 | -7.388 |
| 8 | -3.261 |
| 9 | -11.827 |
| 10 | -5.824 |
| 11 | -7.454 |
| 12 | -5.327 |
| 13 | -3.662 |
| 14 | -11.705 |
| 15 | -6.915 |
| 16 | -5.625 |
| 17 | -5.892 |
| 18 | -4.347 |
| 19 | -8.625 |
| 20 | -8.053 |
| 21 | -4.317 |
| 22 | -5.567 |
| 23 | -6.170 |
| 24 | -1.123 |